TcAg2W2 | GGA-PBEsol | optimized geometry

Cell and atoms, written as POSCAR:
```
TcAg2W2
1.0
3.524 0.000 0.000
0.000 3.524 0.000
-1.762 -1.762 6.994
Ag W Tc
2 2 1
Direct
0.250 0.750 0.500
0.750 0.250 0.500
0.417 0.417 0.834
0.583 0.583 0.166
0.000 0.000 0.000
```

- SG = I4/mmm, No. 139
- VASP energy (eV per cell) = -40.25



YTcAg2 | GGA-PBEsol | optimized geometry

Cell and atoms, written as POSCAR:
```
YTcAg2
1.0
-2.097 1.934 -0.329
-2.630 -0.547 1.014
0.902 4.623 8.896
Ag Tc Y
2 1 1
Direct
0.244 0.244 0.269
0.756 0.756 0.731
0.500 0.500 0.500
0.000 0.000 0.000
```

- SG = R-3m, No. 166
- polymorph energy (0 for the lowest one) (meV per atom) = 249



YTcAg2 | GGA-PBEsol | optimized geometry

Cell and atoms, written as POSCAR:
```
YTcAg2
1.0
2.898 0.000 0.000
0.000 4.305 0.000
0.000 0.000 5.719
Ag Tc Y
2 1 1
Direct
0.000 0.000 0.769
0.000 0.000 0.231
0.500 0.500 0.000
0.500 0.500 0.500
```

- SG = Pmmm, No. 47
- polymorph energy (0 for the lowest one) (meV per atom) = 16



YTc2Ag | GGA-PBEsol | optimized geometry

Cell and atoms, written as POSCAR:
```
YTc2Ag
1.0
-3.238 -1.762 -1.284
1.459 -0.042 -3.620
1.862 -4.002 0.797
Ag Tc Y
1 2 1
Direct
0.000 0.000 0.500
0.000 0.500 0.000
0.500 0.000 0.000
0.500 0.500 0.500
```

- SG = P4/mmm, No. 123
- polymorph energy (0 for the lowest one) (meV per atom) = 0



YTcAg2 | GGA-PBEsol | optimized geometry

Cell and atoms, written as POSCAR:
```
YTcAg2
1.0
-0.309 -2.010 -1.975
4.586 -1.363 0.670
-1.412 -2.509 4.556
Ag Tc Y
2 1 1
Direct
0.692 0.000 0.770
0.308 0.000 0.230
0.500 0.500 0.000
0.000 0.500 0.500
```

- SG = P2/m, No. 10
- polymorph energy (0 for the lowest one) (meV per atom) = 9



YTcAg | GGA-PBEsol | optimized geometry

Cell and atoms, written as POSCAR:
```
YTcAg
1.0
3.458 0.000 0.000
0.000 3.458 0.000
-1.729 -1.729 4.771
Ag Tc Y
1 1 1
Direct
0.019 0.019 0.038
0.651 0.651 0.303
0.330 0.330 0.659
```

- SG = I4mm, No. 107
- VASP energy (eV per cell) = -20.39



YTc2Ag | GGA-PBEsol | optimized geometry

Cell and atoms, written as POSCAR:
```
YTc2Ag
1.0
4.589 0.000 0.000
2.294 3.974 0.000
2.294 1.325 3.747
Ag Tc Y
1 2 1
Direct
0.000 0.000 0.000
0.250 0.250 0.250
0.750 0.750 0.750
0.500 0.500 0.500
```

- SG = Fm-3m, No. 225
- polymorph energy (0 for the lowest one) (meV per atom) = 348



YTcAg2 | GGA-PBEsol | optimized geometry

Cell and atoms, written as POSCAR:
```
YTcAg2
1.0
-1.122 -2.028 1.808
5.305 -1.518 -3.174
0.265 3.321 3.882
Ag Tc Y
2 1 1
Direct
0.500 0.500 0.500
0.000 0.000 0.500
0.000 0.500 0.000
0.500 0.000 0.000
```

- SG = Cmmm, No. 65
- polymorph energy (0 for the lowest one) (meV per atom) = 0



ZnTc2Ag | GGA-PBEsol | optimized geometry

Cell and atoms, written as POSCAR:
```
ZnTc2Ag
1.0
3.160 0.000 0.000
0.000 4.052 0.000
-1.580 -2.026 4.515
Ag Tc Zn
1 2 1
Direct
0.500 0.000 0.000
0.743 0.743 0.486
0.257 0.257 0.514
0.000 0.500 0.000
```

- SG = Immm, No. 71
- VASP energy (eV per cell) = -25.99



ZnTc2Ag | GGA-PBEsol | optimized geometry

Cell and atoms, written as POSCAR:
```
ZnTc2Ag
1.0
4.340 0.000 0.000
2.170 3.759 0.000
2.170 1.253 3.544
Ag Tc Zn
1 2 1
Direct
0.500 0.500 0.500
0.000 0.000 0.000
0.750 0.750 0.750
0.250 0.250 0.250
```

- SG = F-43m, No. 216
- VASP energy (eV per cell) = -25.89



ZnTcAg2 | GGA-PBEsol | optimized geometry

Cell and atoms, written as POSCAR:
```
ZnTcAg2
1.0
2.678 0.000 0.000
0.000 4.717 0.000
-1.339 -2.358 4.797
Ag Tc Zn
2 1 1
Direct
0.738 0.738 0.476
0.262 0.262 0.524
0.500 0.000 0.000
0.000 0.500 0.000
```

- SG = Immm, No. 71
- VASP energy (eV per cell) = -18.09



Zn4TcAg | GGA-PBEsol | optimized geometry

Cell and atoms, written as POSCAR:
```
Zn4TcAg
1.0
-0.065 -2.151 -4.406
-1.956 -4.466 -0.519
-4.242 -0.555 -2.395
Ag Tc Zn
1 1 4
Direct
0.250 0.250 0.250
0.000 0.000 0.000
0.626 0.626 0.123
0.123 0.626 0.626
0.626 0.123 0.626
0.626 0.626 0.626
```

- SG = F-43m, No. 216
- VASP energy (eV per cell) = -19.70